Entry 1:
DFT (PBE) results for a relaxed structure of PtBrO2.

Cell and atoms, written as extended XYZ:
```
8
Lattice="-3.099 3.099 3.931 3.099 -3.099 3.931 3.099 3.099 -3.931" Properties=species:S:1:pos:R:3 pbc="T T T"
Pt 0.000 0.000 0.000
Pt 0.000 3.099 1.966
Br 3.099 0.000 1.966
Br 0.000 0.000 3.931
O 0.639 1.550 0.983
O -1.550 2.460 2.948
O -0.639 4.649 0.983
O 1.550 3.738 2.948
```

Calculated values
energy = -4.0140 eV/atom
calculated volume = 151.0 Å³/cell
raw formation energy = 0.394 eV per atom
ρ = 6.75 g cm⁻³

Entry 2:
DFT (PBE) results for a relaxed structure of Pt3BrO.

Cell and atoms, written as extended XYZ:
```
5
Lattice="4.728 0.000 0.000 0.000 4.728 0.000 0.000 0.000 4.728" Properties=species:S:1:pos:R:3 pbc="T T T"
Pt 0.000 0.000 2.364
Pt 0.000 2.364 0.000
Pt 2.364 0.000 0.000
Br 0.000 0.000 0.000
O 2.364 2.364 2.364
```

Calculated values
energy = -3.1669 eV/atom
calculated volume = 105.7 Å³/cell
raw formation energy = 1.784 eV per atom
ρ = 10.70 g cm⁻³

Entry 3:
DFT (PBE) results for a relaxed structure of PtBrO2.

Cell and atoms, written as extended XYZ:
```
4
Lattice="1.492 0.861 7.708 -1.492 0.861 7.708 0.000 -1.722 7.708" Properties=species:S:1:pos:R:3 pbc="T T T"
Pt 0.000 0.000 0.000
Br 0.000 0.000 11.563
O 0.000 0.000 1.819
O 0.000 0.000 21.306
```

Calculated values
energy = -3.9298 eV/atom
calculated volume = 59.4 Å³/cell
raw formation energy = 0.478 eV per atom
ρ = 8.58 g cm⁻³

Entry 4:
DFT (PBE) results for a relaxed structure of PtBr3O.

Cell and atoms, written as extended XYZ:
```
5
Lattice="5.079 0.000 0.000 0.000 5.079 0.000 0.000 0.000 5.079" Properties=species:S:1:pos:R:3 pbc="T T T"
Pt 0.000 0.000 0.000
Br 0.000 0.000 2.540
Br 0.000 2.540 0.000
Br 2.540 0.000 0.000
O 2.540 2.540 2.540
```

Calculated values
energy = -2.3617 eV/atom
calculated volume = 131.0 Å³/cell
raw formation energy = 0.842 eV per atom
ρ = 5.71 g cm⁻³

Entry 5:
DFT (PBE) results for a relaxed structure of Pt2Br7O2.

Cell and atoms, written as extended XYZ:
```
11
Lattice="5.726 -3.792 0.000 5.726 3.792 0.000 -4.244 0.000 9.720" Properties=species:S:1:pos:R:3 pbc="T T T"
Pt 0.670 0.000 4.686
Pt 6.538 0.000 5.034
Br -2.122 0.000 4.860
Br 1.315 1.729 6.409
Br 2.822 0.000 3.322
Br 5.894 1.729 3.311
Br 1.315 -1.729 6.409
Br 4.387 0.000 6.398
Br 5.894 -1.729 3.311
O 5.726 0.617 0.000
O 5.726 -0.617 0.000
```

Calculated values
energy = -3.0550 eV/atom
calculated volume = 422.1 Å³/cell
raw formation energy = 0.009 eV per atom
ρ = 3.86 g cm⁻³

Entry 6:
DFT (PBE) results for a relaxed structure of PtBrO2.

Cell and atoms, written as extended XYZ:
```
4
Lattice="1.708 0.986 5.899 -1.708 0.986 5.899 0.000 -1.972 5.899" Properties=species:S:1:pos:R:3 pbc="T T T"
Pt 0.000 0.000 0.000
Br 0.000 0.000 8.848
O 0.000 0.000 6.758
O 0.000 0.000 10.938
```

Calculated values
energy = -4.4235 eV/atom
calculated volume = 59.6 Å³/cell
raw formation energy = -0.016 eV per atom
ρ = 8.56 g cm⁻³

Entry 7:
DFT (PBE) results for a relaxed structure of Rb2PtBr6O.

Cell and atoms, written as extended XYZ:
```
10
Lattice="-4.049 4.049 4.737 4.049 -4.049 4.737 4.049 4.049 -4.737" Properties=species:S:1:pos:R:3 pbc="T T T"
Rb 4.049 0.000 2.369
Rb 0.000 4.049 2.369
Pt 0.000 0.000 0.000
Br 1.765 1.765 0.000
Br 2.284 -2.284 4.737
Br 0.000 0.000 2.654
Br 0.000 0.000 6.821
Br -2.284 2.284 4.737
Br 2.284 2.284 4.737
O 0.000 0.000 4.737
```

Calculated values
energy = -2.9822 eV/atom
calculated volume = 310.6 Å³/cell
raw formation energy = -0.685 eV per atom
ρ = 4.61 g cm⁻³

Entry 8:
DFT (PBE) results for a relaxed structure of Rb2PtBrO.

Cell and atoms, written as extended XYZ:
```
5
Lattice="6.135 0.000 0.000 0.000 6.135 0.000 0.000 0.000 3.835" Properties=species:S:1:pos:R:3 pbc="T T T"
Rb 0.000 3.068 0.000
Rb 3.068 0.000 0.000
Pt 0.000 0.000 1.917
Br 3.068 3.068 1.917
O 0.000 0.000 0.000
```

Calculated values
energy = -4.0123 eV/atom
calculated volume = 144.4 Å³/cell
raw formation energy = -1.091 eV per atom
ρ = 5.31 g cm⁻³

For the records above, the corresponding magnetization values read 0.00 0.00 0.00 0.00 1.89 0.00 0.67 0.52 μB/cell.